No. 1
This record from the Alexandria database describes a relaxed structure of Ce3ZrSn5. The functional is GGA-PBE.

Geometry as CIF:
```
data_Ce3ZrSn5
_cell_length_a 9.362
_cell_length_b 9.362
_cell_length_c 6.300
_cell_angle_alpha 90.00
_cell_angle_beta 90.00
_cell_angle_gamma 120.00
_symmetry_space_group_name_H-M 'P 1'
_symmetry_Int_Tables_number 1
loop_
_symmetry_equiv_pos_as_xyz
'x,y,z'
loop_
_atom_site_label
_atom_site_type_symbol
_atom_site_fract_x
_atom_site_fract_y
_atom_site_fract_z
Ce1 Ce 0.000 0.383 0.250
Ce2 Ce 0.000 0.617 0.750
Ce3 Ce 0.383 0.000 0.250
Ce4 Ce 0.383 0.383 0.750
Ce5 Ce 0.617 0.000 0.750
Ce6 Ce 0.617 0.617 0.250
Zr1 Zr 0.000 0.000 0.000
Zr2 Zr 0.000 0.000 0.500
Sn1 Sn 0.000 0.272 0.750
Sn2 Sn 0.000 0.728 0.250
Sn3 Sn 0.272 0.000 0.750
Sn4 Sn 0.272 0.272 0.250
Sn5 Sn 0.333 0.667 0.000
Sn6 Sn 0.333 0.667 0.500
Sn7 Sn 0.667 0.333 0.000
Sn8 Sn 0.667 0.333 0.500
Sn9 Sn 0.728 0.000 0.250
Sn10 Sn 0.728 0.728 0.750
```

=====

No. 2
This record from the Alexandria database describes a relaxed structure of CeZrSn. The functional is GGA-PBE.

Geometry as CIF:
```
data_CeZrSn
_cell_length_a 4.037
_cell_length_b 4.037
_cell_length_c 9.420
_cell_angle_alpha 90.00
_cell_angle_beta 90.00
_cell_angle_gamma 90.00
_symmetry_space_group_name_H-M 'P 1'
_symmetry_Int_Tables_number 1
loop_
_symmetry_equiv_pos_as_xyz
'x,y,z'
loop_
_atom_site_label
_atom_site_type_symbol
_atom_site_fract_x
_atom_site_fract_y
_atom_site_fract_z
Ce1 Ce 0.000 0.000 0.000
Ce2 Ce 0.500 0.500 0.500
Zr1 Zr 0.000 0.000 0.282
Zr2 Zr 0.500 0.500 0.782
Sn1 Sn 0.000 0.000 0.660
Sn2 Sn 0.500 0.500 0.160
```

=====

No. 3
This record from the Alexandria database describes a relaxed structure of Ce2Zr3Sn4. The functional is GGA-PBE.

Geometry as CIF:
```
data_Ce2Zr3Sn4
_cell_length_a 7.930
_cell_length_b 7.916
_cell_length_c 7.799
_cell_angle_alpha 90.00
_cell_angle_beta 110.14
_cell_angle_gamma 90.00
_symmetry_space_group_name_H-M 'P 1'
_symmetry_Int_Tables_number 1
loop_
_symmetry_equiv_pos_as_xyz
'x,y,z'
loop_
_atom_site_label
_atom_site_type_symbol
_atom_site_fract_x
_atom_site_fract_y
_atom_site_fract_z
Ce1 Ce 0.185 0.168 0.058
Ce2 Ce 0.185 0.332 0.558
Ce3 Ce 0.815 0.668 0.442
Ce4 Ce 0.815 0.832 0.942
Zr1 Zr 0.253 0.670 0.247
Zr2 Zr 0.253 0.830 0.747
Zr3 Zr 0.500 0.000 0.500
Zr4 Zr 0.500 0.500 0.000
Zr5 Zr 0.747 0.170 0.253
Zr6 Zr 0.747 0.330 0.753
Sn1 Sn 0.086 0.540 0.855
Sn2 Sn 0.086 0.960 0.355
Sn3 Sn 0.490 0.136 0.861
Sn4 Sn 0.490 0.364 0.361
Sn5 Sn 0.510 0.636 0.639
Sn6 Sn 0.510 0.864 0.139
Sn7 Sn 0.914 0.040 0.645
Sn8 Sn 0.914 0.460 0.145
```

=====

No. 4
This record from the Alexandria database describes a relaxed structure of CeZrSn. The functional is GGA-PBE.

Geometry as CIF:
```
data_CeZrSn
_cell_length_a 5.187
_cell_length_b 5.187
_cell_length_c 3.393
_cell_angle_alpha 90.00
_cell_angle_beta 90.00
_cell_angle_gamma 120.00
_symmetry_space_group_name_H-M 'P 1'
_symmetry_Int_Tables_number 1
loop_
_symmetry_equiv_pos_as_xyz
'x,y,z'
loop_
_atom_site_label
_atom_site_type_symbol
_atom_site_fract_x
_atom_site_fract_y
_atom_site_fract_z
Ce1 Ce 0.000 0.000 0.000
Zr1 Zr 0.667 0.333 0.500
Sn1 Sn 0.333 0.667 0.500
```

=====

No. 5
This record from the Alexandria database describes a relaxed structure of SrCe6. The functional is GGA-PBE.

Geometry as CIF:
```
data_SrCe6
_cell_length_a 7.715
_cell_length_b 7.715
_cell_length_c 7.715
_cell_angle_alpha 90.00
_cell_angle_beta 90.00
_cell_angle_gamma 90.00
_symmetry_space_group_name_H-M 'P 1'
_symmetry_Int_Tables_number 1
loop_
_symmetry_equiv_pos_as_xyz
'x,y,z'
loop_
_atom_site_label
_atom_site_type_symbol
_atom_site_fract_x
_atom_site_fract_y
_atom_site_fract_z
Sr1 Sr 0.000 0.000 0.000
Sr2 Sr 0.500 0.500 0.500
Ce1 Ce 0.000 0.250 0.500
Ce2 Ce 0.000 0.500 0.250
Ce3 Ce 0.000 0.500 0.750
Ce4 Ce 0.000 0.750 0.500
Ce5 Ce 0.250 0.000 0.500
Ce6 Ce 0.250 0.500 0.000
Ce7 Ce 0.500 0.000 0.250
Ce8 Ce 0.500 0.000 0.750
Ce9 Ce 0.500 0.250 0.000
Ce10 Ce 0.500 0.750 0.000
Ce11 Ce 0.750 0.000 0.500
Ce12 Ce 0.750 0.500 0.000
```

=====

No. 6
This record from the Alexandria database describes a relaxed structure of Sr4Ce. The functional is GGA-PBE.

Geometry as CIF:
```
data_Sr4Ce
_cell_length_a 6.409
_cell_length_b 6.409
_cell_length_c 6.409
_cell_angle_alpha 90.00
_cell_angle_beta 90.00
_cell_angle_gamma 90.00
_symmetry_space_group_name_H-M 'P 1'
_symmetry_Int_Tables_number 1
loop_
_symmetry_equiv_pos_as_xyz
'x,y,z'
loop_
_atom_site_label
_atom_site_type_symbol
_atom_site_fract_x
_atom_site_fract_y
_atom_site_fract_z
Sr1 Sr 0.000 0.000 0.000
Sr2 Sr 0.000 0.500 0.500
Sr3 Sr 0.500 0.000 0.500
Sr4 Sr 0.500 0.500 0.000
Ce1 Ce 0.500 0.500 0.500
```

=====

No. 7
This record from the Alexandria database describes a relaxed structure of Sr6Ce. The functional is GGA-PBE.

Geometry as CIF:
```
data_Sr6Ce
_cell_length_a 10.116
_cell_length_b 10.116
_cell_length_c 10.116
_cell_angle_alpha 90.00
_cell_angle_beta 90.00
_cell_angle_gamma 90.00
_symmetry_space_group_name_H-M 'P 1'
_symmetry_Int_Tables_number 1
loop_
_symmetry_equiv_pos_as_xyz
'x,y,z'
loop_
_atom_site_label
_atom_site_type_symbol
_atom_site_fract_x
_atom_site_fract_y
_atom_site_fract_z
Sr1 Sr 0.000 0.250 0.500
Sr2 Sr 0.000 0.500 0.250
Sr3 Sr 0.000 0.500 0.750
Sr4 Sr 0.000 0.750 0.500
Sr5 Sr 0.250 0.000 0.500
Sr6 Sr 0.250 0.500 0.000
Sr7 Sr 0.500 0.000 0.250
Sr8 Sr 0.500 0.000 0.750
Sr9 Sr 0.500 0.250 0.000
Sr10 Sr 0.500 0.750 0.000
Sr11 Sr 0.750 0.000 0.500
Sr12 Sr 0.750 0.500 0.000
Ce1 Ce 0.000 0.000 0.000
Ce2 Ce 0.500 0.500 0.500
```

=====

No. 8
This record from the Alexandria database describes a relaxed structure of SrTb2Ce. The functional is GGA-PBE.

Geometry as CIF:
```
data_SrTb2Ce
_cell_length_a 3.583
_cell_length_b 3.583
_cell_length_c 37.801
_cell_angle_alpha 90.00
_cell_angle_beta 90.00
_cell_angle_gamma 120.00
_symmetry_space_group_name_H-M 'P 1'
_symmetry_Int_Tables_number 1
loop_
_symmetry_equiv_pos_as_xyz
'x,y,z'
loop_
_atom_site_label
_atom_site_type_symbol
_atom_site_fract_x
_atom_site_fract_y
_atom_site_fract_z
Sr1 Sr 0.000 0.000 0.000
Sr2 Sr 0.333 0.667 0.667
Sr3 Sr 0.667 0.333 0.333
Tb1 Tb 0.000 0.000 0.094
Tb2 Tb 0.000 0.000 0.906
Tb3 Tb 0.333 0.667 0.573
Tb4 Tb 0.333 0.667 0.760
Tb5 Tb 0.667 0.333 0.240
Tb6 Tb 0.667 0.333 0.427
Ce1 Ce 0.000 0.000 0.500
Ce2 Ce 0.333 0.667 0.167
Ce3 Ce 0.667 0.333 0.833
```

=====

The evaluated ΔE_f for the records listed, in turn: -0.632 -0.294 -0.628 -0.186 0.567 0.639 1.242 0.241 eV per atom.